# V2ZnO4

An optimized crystal structure of V2ZnO4 (PBE with a Hubbard U, Alexandria).

Properties
total DFT energy (no corrections) = -193.6 eV for the cell shown
M_tot = 16.0 μB per cell

Structure (POSCAR):
```
V2ZnO4
1.0
9.324 0.000 0.000
0.000 2.971 0.000
0.000 0.000 10.518
V Zn O
8 4 16
direct
0.060 0.250 0.122 V
0.096 0.250 0.601 V
0.404 0.750 0.101 V
0.440 0.750 0.622 V
0.560 0.250 0.378 V
0.596 0.250 0.899 V
0.904 0.750 0.399 V
0.940 0.750 0.878 V
0.244 0.750 0.855 Zn
0.256 0.250 0.355 Zn
0.744 0.750 0.645 Zn
0.756 0.250 0.145 Zn
0.056 0.750 0.720 O
0.091 0.250 0.932 O
0.120 0.750 0.460 O
0.197 0.750 0.175 O
0.303 0.250 0.675 O
0.380 0.250 0.960 O
0.409 0.750 0.432 O
0.444 0.250 0.220 O
0.556 0.750 0.780 O
0.591 0.250 0.568 O
0.620 0.750 0.040 O
0.697 0.750 0.325 O
0.803 0.250 0.825 O
0.880 0.250 0.540 O
0.909 0.750 0.068 O
0.944 0.250 0.280 O
```